1.
A relaxed structure of HfMg3Hg, computed with PBE.

Computed properties:
symmetry	Pm-3m, No. 221
calculated total energy	-1.88	eV/atom
ΔE_f	1127	meV per atom
relative energy among the computed polymorphs	0.508	eV/atom

Cell: 5.7878 5.7878 5.7878 Å, 90.00 90.00 90.00°
With the nearest neighbours (Å) after each atom.
Positions (direct):
Hg 0.5000 0.5000 0.5000  12 Mg 4.09
Mg 0.5000 0.0000 0.0000  2 Hf 2.89
Mg 0.0000 0.5000 0.0000  2 Hf 2.89
Mg 0.0000 0.0000 0.5000  2 Hf 2.89
Hf 0.0000 0.0000 0.0000  6 Mg 2.89

=====

2.
A relaxed structure of HfMgHg, computed with PBE.

Computed properties:
symmetry	I4mm, No. 107
calculated total energy	-3.98	eV/atom
ΔE_f	-29	meV per atom

Cell: 3.1841 3.1841 6.6720 Å, 103.80 103.80 90.00°
With the nearest neighbours (Å) after each atom.
Positions (direct):
Hf 0.0034 0.0034 0.0069  4 Hg 3.06, 4 Mg 3.15, 4 Hf 3.18
Mg 0.3278 0.3278 0.6556  4 Hg 3.01, 4 Hf 3.15, 4 Mg 3.18
Hg 0.6688 0.6688 0.3375  4 Mg 3.01, 4 Hf 3.06, 4 Hg 3.18

=====

3.
A relaxed structure of Hf2MgHg2, computed with PBE.

Computed properties:
symmetry	I4/mmm, No. 139
calculated total energy	-4.17	eV/atom
ΔE_f	252	meV per atom
relative energy among the computed polymorphs	0.222	eV/atom

Cell: 4.1306 4.1306 7.5991 Å, 105.77 105.77 90.00°
With the nearest neighbours (Å) after each atom.
Positions (direct):
Hg 0.4027 0.4027 0.8054  1 Hg 2.73, 4 Hf 2.98
Hg 0.5973 0.5973 0.1946  1 Hg 2.73, 4 Hf 2.98
Hf 0.2500 0.7500 0.5000  4 Hf 2.92, 4 Hg 2.98
Hf 0.7500 0.2500 0.5000  4 Hf 2.92, 4 Hg 2.98
Mg 0.0000 0.0000 0.0000  8 Hg 3.22

=====

4.
A relaxed structure of HfMgHg, computed with PBE.

Computed properties:
symmetry	P4/nmm, No. 129
calculated total energy	-4.06	eV/atom
ΔE_f	-111	meV per atom

Cell: 3.4953 3.4953 10.4678 Å, 90.00 90.00 90.00°
With the nearest neighbours (Å) after each atom.
Positions (direct):
Mg 0.5000 0.0000 0.0890  4 Hg 2.91, 4 Mg 3.10
Mg 0.0000 0.5000 0.9110  4 Hg 2.91, 4 Mg 3.10
Hf 0.0000 0.5000 0.5893  4 Hg 3.07, 4 Hf 3.10, 1 Mg 3.37
Hf 0.5000 0.0000 0.4107  4 Hg 3.07, 4 Hf 3.10, 1 Mg 3.37
Hg 0.0000 0.5000 0.2362  4 Mg 2.91, 4 Hf 3.07
Hg 0.5000 0.0000 0.7638  4 Mg 2.91, 4 Hf 3.07

=====

5.
A relaxed structure of HfMgHg, computed with PBE.

Computed properties:
symmetry	C2/m, No. 12
calculated total energy	-4.01	eV/atom
ΔE_f	-56	meV per atom

Cell: 3.2407 5.7072 8.0939 Å, 64.46 78.41 73.45°
With the nearest neighbours (Å) after each atom.
Positions (direct):
Hf 0.5994 0.4264 0.0518  5 Hf 2.97-3.24, 4 Hg 3.08-3.12, 3 Mg 3.22-3.24
Hf 0.3095 0.9407 0.1193  5 Hf 2.97-3.24, 4 Hg 3.08-3.12, 3 Mg 3.22-3.25
Mg 0.2830 0.4054 0.7069  5 Hg 2.98-3.08, 3 Hf 3.22-3.25, 4 Mg 3.24-3.31
Mg 0.6265 0.9618 0.4641  5 Hg 2.98-3.09, 3 Hf 3.22-3.24, 4 Mg 3.24-3.31
Hg 0.9881 0.9084 0.7924  5 Mg 2.98-3.08, 4 Hf 3.08-3.12, 2 Hg 3.24
Hg 0.9207 0.4586 0.3788  5 Mg 2.98-3.09, 4 Hf 3.08-3.12, 2 Hg 3.24

=====

6.
A relaxed structure of HfMg5Hg6, computed with PBE.

Computed properties:
symmetry	Cmmm, No. 65
calculated total energy	-1.82	eV/atom
ΔE_f	-178	meV per atom

Cell: 4.8054 7.1914 7.7089 Å, 90.00 71.84 90.00°
With the nearest neighbours (Å) after each atom.
Positions (direct):
Hg 0.1670 0.2429 0.6660  7 Mg 2.97-3.07, 1 Hf 3.01
Hg 0.5000 0.7402 0.0000  6 Mg 2.96-3.07, 2 Hf 3.04
Hg 0.8330 0.7571 0.3340  7 Mg 2.97-3.07, 1 Hf 3.01
Hg 0.8330 0.2429 0.3340  7 Mg 2.97-3.07, 1 Hf 3.01
Hg 0.5000 0.2598 0.0000  6 Mg 2.96-3.07, 2 Hf 3.04
Hg 0.1670 0.7571 0.6660  7 Mg 2.97-3.07, 1 Hf 3.01
Mg 0.6617 0.0000 0.6765  8 Hg 2.97-3.06
Mg 0.6732 0.5000 0.6537  8 Hg 2.98-3.07, 2 Mg 3.29
Mg 0.0000 0.5000 0.0000  8 Hg 2.96-3.07
Mg 0.3268 0.5000 0.3463  8 Hg 2.98-3.07, 2 Mg 3.29
Mg 0.3383 0.0000 0.3235  8 Hg 2.97-3.06
Hf 0.0000 0.0000 0.0000  8 Hg 3.01-3.04

=====

7.
A relaxed structure of Hf2MgHg3, computed with PBE.

Computed properties:
symmetry	P4/mmm, No. 123
calculated total energy	-3.83	eV/atom
ΔE_f	-93	meV per atom

Cell: 3.2431 3.2431 11.9545 Å, 90.00 90.00 90.00°
With the nearest neighbours (Å) after each atom.
Positions (direct):
Hg 0.0000 0.0000 0.0000  8 Hf 3.08, 4 Hg 3.24
Hg 0.0000 0.0000 0.6593  4 Mg 2.98, 4 Hf 3.06, 4 Hg 3.24
Hg 0.0000 0.0000 0.3407  4 Mg 2.98, 4 Hf 3.06, 4 Hg 3.24
Hf 0.5000 0.5000 0.8285  8 Hg 3.06-3.08, 4 Hf 3.24
Hf 0.5000 0.5000 0.1715  8 Hg 3.06-3.08, 4 Hf 3.24
Mg 0.5000 0.5000 0.5000  8 Hg 2.98, 4 Mg 3.24

=====

8.
A relaxed structure of HfMgHg, computed with PBE.

Computed properties:
symmetry	P4mm, No. 99
calculated total energy	-4.05	eV/atom
ΔE_f	-101	meV per atom

Cell: 3.2325 12.4170 3.2325 Å, 90.00 90.00 90.00°
With the nearest neighbours (Å) after each atom.
Positions (direct):
Mg 0.0419 0.4117 0.9684  4 Hg 3.01, 4 Mg 3.23, 4 Hf 3.27
Mg 0.0418 0.0957 0.9683  8 Hg 2.99-3.01, 4 Mg 3.23
Hg 0.5417 0.2535 0.4682  8 Mg 3.01, 4 Hg 3.23
Hg 0.5414 0.9398 0.4679  4 Mg 2.99-3.00, 4 Hf 3.14, 4 Hg 3.23
Hf 0.0414 0.7664 0.9679  8 Hf 3.08-3.23, 4 Hg 3.14
Hf 0.5415 0.6004 0.4680  8 Hf 3.08-3.23, 4 Mg 3.27

=====

9.
A relaxed structure of Hf3MgHg, computed with PBE.

Computed properties:
symmetry	Pm-3m, No. 221
calculated total energy	-5.31	eV/atom
ΔE_f	1039	meV per atom
relative energy among the computed polymorphs	0.000	eV/atom

Cell: 5.2281 5.2281 5.2281 Å, 90.00 90.00 90.00°
With the nearest neighbours (Å) after each atom.
Positions (direct):
Mg 0.5000 0.5000 0.5000  12 Hf 3.70
Hg 0.0000 0.0000 0.0000  6 Hf 2.61
Hf 0.0000 0.5000 0.0000  2 Hg 2.61
Hf 0.0000 0.0000 0.5000  2 Hg 2.61
Hf 0.5000 0.0000 0.0000  2 Hg 2.61

=====

10.
A relaxed structure of HfMgHg, computed with PBE.

Computed properties:
symmetry	I4/mmm, No. 139
calculated total energy	-3.79	eV/atom
ΔE_f	162	meV per atom

Cell: 3.1965 3.1965 13.2966 Å, 96.90 96.90 90.00°
With the nearest neighbours (Å) after each atom.
Positions (direct):
Hg 0.8664 0.8664 0.7327  4 Mg 2.97, 4 Hf 3.04, 4 Hg 3.20
Hg 0.1336 0.1336 0.2673  4 Mg 2.97, 4 Hf 3.04, 4 Hg 3.20
Hf 0.4439 0.4439 0.8877  5 Hf 2.94-3.20, 4 Hg 3.04
Hf 0.5561 0.5561 0.1123  5 Hf 2.94-3.20, 4 Hg 3.04
Mg 0.7071 0.7071 0.4142  4 Hg 2.97, 8 Mg 3.19-3.20
Mg 0.2929 0.2929 0.5858  4 Hg 2.97, 8 Mg 3.19-3.20

=====

11.
A relaxed structure of Hf2Mg2Hg3, computed with PBE.

Computed properties:
symmetry	R-3m, No. 166
calculated total energy	-3.31	eV/atom
ΔE_f	120	meV per atom

Cell: 4.9297 4.9297 7.9043 Å, 90.00 108.17 120.00°
With the nearest neighbours (Å) after each atom.
Positions (direct):
Mg 0.8507 0.4254 0.2760  3 Hg 2.91, 3 Hf 3.03
Mg 0.1493 0.5746 0.7240  3 Hg 2.91, 3 Hf 3.03
Hg 0.5383 0.2691 0.8074  1 Hf 2.87, 3 Mg 2.91, 3 Hg 3.18
Hg 0.4617 0.7309 0.1926  1 Hf 2.87, 3 Mg 2.91, 3 Hg 3.18
Hg 0.0000 0.0000 0.0000  2 Hf 3.09, 6 Hg 3.18
Hf 0.2792 0.1396 0.4188  2 Hg 2.87-3.09, 3 Mg 3.03, 3 Hf 3.09
Hf 0.7208 0.8604 0.5812  2 Hg 2.87-3.09, 3 Mg 3.03, 3 Hf 3.09

=====

12.
A relaxed structure of HfMgHg, computed with PBE.

Computed properties:
symmetry	Pnma, No. 62
calculated total energy	-3.95	eV/atom
ΔE_f	-1	meV per atom

Cell: 6.0469 4.9071 8.5035 Å, 90.00 90.00 90.00°
With the nearest neighbours (Å) after each atom.
Positions (direct):
Hf 0.2493 0.2500 0.4166  5 Hg 2.83-3.02
Hf 0.2507 0.7500 0.9166  5 Hg 2.83-3.02
Hf 0.7493 0.2500 0.0834  5 Hg 2.83-3.02
Hf 0.7507 0.7500 0.5834  5 Hg 2.83-3.02
Hg 0.7505 0.7500 0.9166  5 Hf 2.83-3.02
Hg 0.7495 0.2500 0.4166  5 Hf 2.83-3.02
Hg 0.2505 0.7500 0.5834  5 Hf 2.83-3.02
Hg 0.2495 0.2500 0.0834  5 Hf 2.83-3.02
Mg 0.5003 0.2500 0.7496  2 Mg 3.02, 6 Hg 3.21-3.22, 6 Hf 3.21
Mg 0.4997 0.7500 0.2504  2 Mg 3.02, 6 Hg 3.21-3.22, 6 Hf 3.21
Mg 0.9997 0.7500 0.2496  2 Mg 3.02, 6 Hg 3.21-3.22, 6 Hf 3.21
Mg 0.0003 0.2500 0.7504  2 Mg 3.02, 6 Hg 3.21-3.22, 6 Hf 3.21